(1)
La3Pm7Nd2 | PBE-GGA | optimized geometry

```
La3Pm7Nd2
1.0
2.9537 -19.7112 0.0000
2.9537 19.7112 0.0000
0.0000 0.0000 3.6792
La Pm Nd
3 7 2
Direct
0.0000 0.0000 0.0000
0.1846 0.8154 0.0000
0.8154 0.1846 0.0000
0.0911 0.9089 0.5000
0.2694 0.7306 0.5000
0.4279 0.5721 0.0000
0.5000 0.5000 0.5000
0.5721 0.4279 0.0000
0.7306 0.2694 0.5000
0.9089 0.0911 0.5000
0.3527 0.6473 0.5000
0.6473 0.3527 0.5000
```

Properties
Its crystal system is orthorhombic. Its density of states at the Fermi level is 1.512 states/eV per atom. Its formation energy from the elements is 0.09 eV per atom.



(2)
La6Pm4Nd | PBE-GGA | optimized geometry

```
La6Pm4Nd
1.0
3.0242 -4.9553 0.0000
3.0242 4.9553 0.0000
0.0000 0.0000 26.3919
La Pm Nd
12 8 2
Direct
0.0000 0.0000 0.0000
0.0000 0.0000 0.5000
0.0586 0.9414 0.7500
0.2946 0.7054 0.1014
0.2946 0.7054 0.3986
0.3846 0.6154 0.6823
0.3846 0.6154 0.8177
0.6154 0.3846 0.1823
0.6154 0.3846 0.3177
0.7054 0.2946 0.6014
0.7054 0.2946 0.8986
0.9414 0.0586 0.2500
0.0533 0.9467 0.6238
0.0533 0.9467 0.8762
0.3520 0.6480 0.5446
0.3520 0.6480 0.9554
0.6480 0.3520 0.0446
0.6480 0.3520 0.4554
0.9467 0.0533 0.1238
0.9467 0.0533 0.3762
0.2834 0.7166 0.2500
0.7166 0.2834 0.7500
```

Properties
Its crystal system is orthorhombic. Its density of states at the Fermi level is 1.677 states/eV per atom. Its formation energy from the elements is 0.09 eV per atom.



(3)
La3Pm3Nd5 | PBE-GGA | optimized geometry

```
La3Pm3Nd5
1.0
9.8130 0.0000 0.0000
-4.9065 8.4983 0.0000
0.0000 0.0000 5.4874
La Pm Nd
3 3 5
Direct
0.0000 0.3608 0.0000
0.3608 0.0000 0.0000
0.6392 0.6392 0.0000
0.0000 0.5042 0.5000
0.4958 0.4958 0.5000
0.5042 0.0000 0.5000
0.0000 0.7311 0.0000
0.2689 0.2689 0.0000
0.3333 0.6667 0.0000
0.6667 0.3333 0.0000
0.7311 0.0000 0.0000
```

Properties
Its crystal system is hexagonal. Its density of states at the Fermi level is 1.622 states/eV per atom. Its formation energy from the elements is 0.68 eV per atom.



(4)
La3Pm7Nd | PBE-GGA | optimized geometry

```
La3Pm7Nd
1.0
-3.0097 5.7386 5.7566
3.0097 -5.7386 5.7566
3.0097 5.7386 -5.7566
La Pm Nd
3 7 1
Direct
0.0000 0.0000 0.0000
0.2117 0.5000 0.7117
0.7883 0.5000 0.2883
0.0028 0.2030 0.7998
0.2071 0.7071 0.5000
0.4032 0.2030 0.2002
0.5000 0.5000 0.0000
0.5968 0.7970 0.7998
0.7929 0.2929 0.5000
0.9972 0.7970 0.2002
0.5000 0.0000 0.5000
```

Properties
Its crystal system is orthorhombic. Its density of states at the Fermi level is 1.572 states/eV per atom. Its formation energy from the elements is 0.22 eV per atom.